The following is a DFT calculation (PBE) of an optimized crystal structure of NbBiSe.

Structure (POSCAR):
```
NbBiSe
1.0
-1.580 -1.802 2.351
2.019 -1.523 -2.208
18.033 2.997 14.419
Se Nb Bi
3 3 3
direct
0.333 0.667 0.031
0.667 0.333 0.698
0.000 0.000 0.364
0.667 0.333 0.438
0.000 0.000 0.105
0.333 0.667 0.772
0.667 0.333 0.876
0.000 0.000 0.542
0.333 0.667 0.209
```

Computed properties:
Calculated total energy, hartree per atom: -0.2283
Uncorrected formation energy, eV/atom: -0.401
E above lowest polymorph, meV/atom: 40